# 1
Density functional theory data (PBE-GGA) for crystalline ZrInCu at its relaxed geometry.

Computed properties:
The formation energy is -0.129 eV per atom.

abc: 6.1947 6.1155 6.1158
angles: 42.08 128.56 128.56
Fractional coordinates of all 6 atoms:
Cu (0.9599, 0.7187, 0.3519)
Cu (0.6368, 0.4338, 0.0659)
Zr (0.5743, 0.7636, 0.3962)
Zr (0.5000, 0.0336, 0.6660)
In (0.0439, 0.3957, 0.0284)
In (0.1032, 0.1305, 0.7636)

***

# 2
Density functional theory data (PBE-GGA) for crystalline PuNiB at its relaxed geometry.

Computed properties:
The formation energy is -0.179 eV per atom. The distance to the lowest polymorph of the same formula comes out at 0.000 kcal/mol of atoms.

abc: 4.9458 5.8158 6.4252
angles: 90.00 109.71 90.00
Last column: magnetic moment on the atom in μB.
Fractional coordinates of all 12 atoms:
B (0.6011, 0.3478, 0.2182)  -0.05
B (0.3989, 0.6522, 0.7818)  -0.05
B (0.1011, 0.1522, 0.7182)  -0.05
B (0.8989, 0.8478, 0.2818)  -0.05
Ni (0.2666, 0.3987, 0.9352)  0.06
Ni (0.7334, 0.6013, 0.0648)  0.06
Ni (0.2334, 0.8987, 0.5648)  0.06
Ni (0.7666, 0.1013, 0.4352)  0.06
Pu (0.2901, 0.8974, 0.0960)  5.00
Pu (0.7901, 0.6026, 0.5960)  5.00
Pu (0.7099, 0.1026, 0.9040)  5.00
Pu (0.2099, 0.3974, 0.4040)  5.00

***

# 3
Density functional theory data (PBE-GGA) for crystalline TmGa2W at its relaxed geometry.

Computed properties:
The formation energy is 0.108 eV per atom.

abc: 3.0185 3.0185 9.6033
angles: 80.96 80.96 60.00
Fractional coordinates of all 4 atoms:
Tm (0.5000, 0.5000, 0.5000)
Ga (0.7425, 0.7425, 0.7724)
Ga (0.2575, 0.2575, 0.2276)
W (0.0000, 0.0000, 0.0000)

***

# 4
Density functional theory data (PBE-GGA) for crystalline TbZnCdAu2 at its relaxed geometry.

Computed properties:
The formation energy is -0.438 eV per atom.

abc: 5.5463 5.5552 7.5788
angles: 111.50 90.00 90.00
Fractional coordinates of all 10 atoms:
Tb (0.2508, 0.7500, 0.5000)
Tb (0.7492, 0.2500, 0.5000)
Zn (0.0000, 0.0000, 0.0000)
Zn (0.0000, 0.5000, 0.0000)
Cd (0.5000, 0.7500, 0.0000)
Cd (0.5000, 0.2500, 0.0000)
Au (0.7538, 0.8477, 0.6953)
Au (0.7538, 0.6523, 0.3047)
Au (0.2462, 0.3477, 0.6953)
Au (0.2462, 0.1523, 0.3047)

***

# 5
Density functional theory data (PBE-GGA) for crystalline Ba2SrCl2 at its relaxed geometry.

Computed properties:
The formation energy without anion corrections is -1.350 eV/atom.

abc: 5.2902 5.2902 9.4274
angles: 73.71 73.71 90.00
Fractional coordinates of all 5 atoms:
Sr (0.0000, 0.0000, 0.0000)
Ba (0.3512, 0.3512, 0.2976)
Ba (0.6488, 0.6488, 0.7024)
Cl (0.7500, 0.2500, 0.5000)
Cl (0.2500, 0.7500, 0.5000)

***

# 6
Density functional theory data (PBE-GGA) for crystalline AcAlCu11 at its relaxed geometry.

Computed properties:
The formation energy is -0.096 eV per atom.

abc: 4.9102 6.7684 6.4888
angles: 82.51 67.77 69.86
Fractional coordinates of all 13 atoms:
Ac (0.0000, 0.0000, 0.0000)
Al (0.5000, 0.5000, 0.0000)
Cu (0.2670, 0.2374, 0.2375)
Cu (0.7330, 0.7626, 0.7625)
Cu (0.4955, 0.7626, 0.2375)
Cu (0.5045, 0.2374, 0.7625)
Cu (0.3475, 0.6434, 0.6408)
Cu (0.6525, 0.3566, 0.3592)
Cu (0.0116, 0.3566, 0.6408)
Cu (0.9884, 0.6434, 0.3592)
Cu (0.0000, 0.5000, 0.0000)
Cu (0.5000, 0.0000, 0.5000)
Cu (0.0000, 0.0000, 0.5000)

***

# 7
Density functional theory data (PBE-GGA) for crystalline Y2FeHPd at its relaxed geometry.

abc: 4.9041 4.9041 3.4780
angles: 90.00 90.00 90.00
Last column: magnetic moment on the atom in μB.
Fractional coordinates of all 5 atoms:
Y (0.0000, 0.5000, 0.0000)  -0.11
Y (0.5000, 0.0000, 0.0000)  -0.11
H (0.0000, 0.0000, 0.0000)  -0.01
Fe (0.0000, 0.0000, 0.5000)  1.18
Pd (0.5000, 0.5000, 0.5000)  0.04

***

# 8
Density functional theory data (PBE-GGA) for crystalline LiCa2Zn at its relaxed geometry.

Computed properties:
The formation energy is -0.078 eV per atom.

abc: 6.2527 6.2527 5.5223
angles: 69.78 69.78 33.05
Fractional coordinates of all 4 atoms:
Zn (0.7726, 0.7726, 0.7617)
Ca (0.0342, 0.0342, 0.9395)
Ca (0.2382, 0.2382, 0.2812)
Li (0.4549, 0.4549, 0.5175)

***

# 9
Density functional theory data (PBE-GGA) for crystalline CuPS4 at its relaxed geometry.

Computed properties:
The formation energy without anion corrections is 0.032 eV/atom.

abc: 3.2766 5.7000 13.0673
angles: 87.81 90.00 90.00
Fractional coordinates of all 12 atoms:
Cu (0.0000, 0.0000, 0.5000)
Cu (0.5000, 0.5000, 0.0000)
P (0.5000, 0.5000, 0.5000)
P (0.0000, 0.0000, 0.0000)
S (0.5000, 0.1911, 0.4023)
S (0.0000, 0.3088, 0.0977)
S (0.5000, 0.8089, 0.5977)
S (0.0000, 0.6912, 0.9023)
S (0.0000, 0.6494, 0.3943)
S (0.5000, 0.8506, 0.1057)
S (0.0000, 0.3506, 0.6057)
S (0.5000, 0.1494, 0.8943)

***

# 10
Density functional theory data (PBE-GGA) for crystalline YZr2Se at its relaxed geometry.

Computed properties:
The formation energy without anion corrections is -0.548 eV/atom.

abc: 3.4863 3.4863 7.7368
angles: 90.00 90.00 90.00
Fractional coordinates of all 4 atoms:
Se (0.0000, 0.0000, 0.4607)
Y (0.5000, 0.5000, 0.7316)
Zr (0.0000, 0.0000, 0.0235)
Zr (0.5000, 0.5000, 0.2842)

***

# 11
Density functional theory data (PBE-GGA) for crystalline LaPmSi2Pt2 at its relaxed geometry.

Computed properties:
The formation energy without anion corrections is -1.132 eV/atom.

abc: 4.1978 4.1978 8.5881
angles: 90.00 90.00 120.00
Fractional coordinates of all 6 atoms:
La (0.0000, 0.0000, 0.0000)
Pm (0.0000, 0.0000, 0.5000)
Si (0.6667, 0.3333, 0.7445)
Si (0.3333, 0.6667, 0.2555)
Pt (0.6667, 0.3333, 0.2572)
Pt (0.3333, 0.6667, 0.7428)

***

# 12
Density functional theory data (PBE-GGA) for crystalline Li2Mn2Br7 at its relaxed geometry.

Computed properties:
The distance to the lowest polymorph of the same formula comes out at 0.809 kcal/mol of atoms. The formation energy without anion corrections is -0.935 eV/atom.

abc: 7.4916 7.4916 13.8094
angles: 103.84 103.84 98.57
Last column: magnetic moment on the atom in μB.
Fractional coordinates of all 22 atoms:
Li (0.3760, 0.7204, 0.4721)  0.01
Li (0.2796, 0.6240, 0.0279)  0.01
Li (0.7204, 0.3760, 0.9721)  0.01
Li (0.6240, 0.2796, 0.5279)  0.01
Mn (0.1938, 0.1912, 0.2017)  4.01
Mn (0.1912, 0.1938, 0.7017)  4.01
Mn (0.8088, 0.8062, 0.2983)  4.01
Mn (0.8062, 0.8088, 0.7983)  4.01
Br (0.0072, 0.6428, 0.3908)  0.05
Br (0.0747, 0.3908, 0.0953)  0.02
Br (0.4198, 0.3759, 0.3684)  0.02
Br (0.9022, 0.0978, 0.2500)  0.02
Br (0.6428, 0.0072, 0.8908)  0.05
Br (0.3908, 0.0747, 0.5953)  0.02
Br (0.3759, 0.4198, 0.8684)  0.02
Br (0.6241, 0.5802, 0.1316)  0.02
Br (0.6092, 0.9253, 0.4047)  0.02
Br (0.3572, 0.9928, 0.1092)  0.05
Br (0.0978, 0.9022, 0.7500)  0.02
Br (0.5802, 0.6241, 0.6316)  0.02
Br (0.9253, 0.6092, 0.9047)  0.02
Br (0.9928, 0.3572, 0.6092)  0.05

***

# 13
Density functional theory data (PBE-GGA) for crystalline RbSbN2 at its relaxed geometry.

Computed properties:
The formation energy without anion corrections is 0.252 eV/atom.

abc: 6.2153 6.2153 5.9824
angles: 58.70 58.70 90.00
Fractional coordinates of all 8 atoms:
Sb (0.0000, 0.0000, 0.0000)
Sb (0.7500, 0.2500, 0.5000)
Rb (0.5000, 0.5000, 0.0000)
Rb (0.2500, 0.7500, 0.5000)
N (0.7441, 0.1250, 0.2500)
N (0.0059, 0.6250, 0.2500)
N (0.3750, 0.2559, 0.7500)
N (0.8750, 0.9941, 0.7500)

***

# 14
Density functional theory data (PBE-GGA) for crystalline TaFe2Tc at its relaxed geometry.

Computed properties:
The formation energy is 0.018 eV per atom. The distance to the lowest polymorph of the same formula comes out at 2.225 kcal/mol of atoms.

abc: 4.9630 4.9630 2.6644
angles: 81.09 81.09 116.45
Last column: magnetic moment on the atom in μB.
Fractional coordinates of all 4 atoms:
Fe (0.0000, 0.0000, 0.0000)  2.25
Fe (0.5000, 0.5000, 0.0000)  2.25
Ta (0.5000, 0.0000, 0.5000)  -0.27
Tc (0.0000, 0.5000, 0.5000)  0.14

***

# 15
Density functional theory data (PBE-GGA) for crystalline DyHoTlAu at its relaxed geometry.

Computed properties:
The formation energy is -0.564 eV per atom. The distance to the lowest polymorph of the same formula comes out at 0.985 kcal/mol of atoms.

abc: 5.2291 5.2291 5.2291
angles: 60.00 60.00 60.00
Fractional coordinates of all 4 atoms:
Tl (0.0000, 0.0000, 0.0000)
Au (0.5000, 0.5000, 0.5000)
Ho (0.7500, 0.7500, 0.7500)
Dy (0.2500, 0.2500, 0.2500)

***

# 16
Density functional theory data (PBE-GGA) for crystalline NaSi3Au3 at its relaxed geometry.

Computed properties:
The formation energy without anion corrections is 0.088 eV/atom.

abc: 6.9284 6.9284 6.9284
angles: 90.00 90.00 90.00
Fractional coordinates of all 14 atoms:
Na (0.5000, 0.5000, 0.5000)
Na (0.0000, 0.0000, 0.0000)
Si (0.0000, 0.2500, 0.5000)
Si (0.0000, 0.7500, 0.5000)
Si (0.5000, 0.0000, 0.7500)
Si (0.7500, 0.5000, 0.0000)
Si (0.5000, 0.0000, 0.2500)
Si (0.2500, 0.5000, 0.0000)
Au (0.2500, 0.0000, 0.5000)
Au (0.0000, 0.5000, 0.2500)
Au (0.5000, 0.7500, 0.0000)
Au (0.7500, 0.0000, 0.5000)
Au (0.0000, 0.5000, 0.7500)
Au (0.5000, 0.2500, 0.0000)

***

# 17
Density functional theory data (PBE-GGA) for crystalline SrTb3Os at its relaxed geometry.

Computed properties:
The formation energy is -0.065 eV per atom.

abc: 5.5340 5.5340 5.5340
angles: 90.00 90.00 90.00
Fractional coordinates of all 5 atoms:
Tb (0.0000, 0.5000, 0.0000)
Tb (0.0000, 0.0000, 0.5000)
Tb (0.5000, 0.0000, 0.0000)
Os (0.0000, 0.0000, 0.0000)
Sr (0.5000, 0.5000, 0.5000)

***

# 18
Density functional theory data (PBE-GGA) for crystalline CaPmZnHg at its relaxed geometry.

Computed properties:
The formation energy is -0.396 eV per atom. The distance to the lowest polymorph of the same formula comes out at 0.393 kcal/mol of atoms.

abc: 3.7452 3.7452 7.4610
angles: 90.00 90.00 90.00
Last column: magnetic moment on the atom in μB.
Fractional coordinates of all 4 atoms:
Ca (0.5000, 0.5000, 0.1150)  0.00
Pm (0.5000, 0.5000, 0.5935)  0.08
Zn (0.0000, 0.0000, 0.3661)  0.00
Hg (0.0000, 0.0000, 0.8533)  0.00

***

# 19
Density functional theory data (PBE-GGA) for crystalline CdSbSe3 at its relaxed geometry.

Computed properties:
The distance to the lowest polymorph of the same formula comes out at 0.000 kcal/mol of atoms. The formation energy without anion corrections is -0.285 eV/atom.

abc: 4.0017 7.0044 11.5935
angles: 123.75 90.00 90.00
Fractional coordinates of all 10 atoms:
Cd (0.2500, 0.3900, 0.7930)
Cd (0.7500, 0.6100, 0.2070)
Sb (0.2500, 0.0734, 0.1808)
Sb (0.7500, 0.9266, 0.8192)
Se (0.2500, 0.2676, 0.0043)
Se (0.7500, 0.7324, 0.9957)
Se (0.2500, 0.9186, 0.3425)
Se (0.7500, 0.0814, 0.6575)
Se (0.2500, 0.6216, 0.6638)
Se (0.7500, 0.3784, 0.3362)

***

# 20
Density functional theory data (PBE-GGA) for crystalline CeScPdS3 at its relaxed geometry.

Computed properties:
The formation energy without anion corrections is -1.622 eV/atom.

abc: 3.7878 7.5034 8.5873
angles: 104.33 90.00 90.00
Last column: magnetic moment on the atom in μB.
Fractional coordinates of all 12 atoms:
Ce (0.2500, 0.2022, 0.2577)  0.76
Ce (0.7500, 0.7978, 0.7423)  0.76
Sc (0.2500, 0.6794, 0.1711)  0.02
Sc (0.7500, 0.3206, 0.8289)  0.02
Pd (0.2500, 0.1173, 0.5938)  -0.03
Pd (0.7500, 0.8827, 0.4062)  -0.03
S (0.7500, 0.9111, 0.1315)  -0.01
S (0.2500, 0.0889, 0.8685)  -0.01
S (0.2500, 0.7079, 0.4802)  -0.02
S (0.7500, 0.2921, 0.5198)  -0.02
S (0.7500, 0.4279, 0.1442)  -0.01
S (0.2500, 0.5721, 0.8558)  -0.01

***

no.,DFT total energy (eV/atom)
1,-5.257
2,-9.109
3,-5.762
4,-3.113
5,-3.194
6,-4.166
7,-6.406
8,-1.876
9,-4.304
10,-7.309
11,-6.567
12,-4.015
13,-5.183
14,-9.768
15,-4.270
16,-3.829
17,-5.426
18,-2.478
19,-3.384
20,-6.595